P | TcBr | PBE-GGA | optimized geometry

DOS(E_F) = 0.0731 states/eV per atom
M_tot = 0.0 Bohr magnetons per cell

Unit cell a=3.491 b=3.509 c=8.961 alpha=85.84 beta=87.81 gamma=61.61
Space group P1 (No. 1)
Symmetry-distinct sites (fractional):
Tc1 0.000 0.000 0.000 (multiplicity 1)
Tc2 0.250 0.439 0.850 (multiplicity 1)
Br1 0.544 0.812 0.216 (multiplicity 1)
Br2 0.887 0.109 0.638 (multiplicity 1)

Q | TcBr | PBE-GGA | optimized geometry

DOS(E_F) = 0.5231 states/eV per atom
M_tot = 0.0 Bohr magnetons per cell

Unit cell a=7.431 b=10.023 c=10.112 alpha=90.00 beta=90.00 gamma=90.00
Space group Fddd (No. 70, origin choice 2)
Symmetry-distinct sites (fractional):
Tc1 0.125 0.020 0.125 (multiplicity 16)
Br1 0.125 0.125 0.463 (multiplicity 16)

P is preferred energetically. Next in line: 569 meV per atom higher.

P | AcPr2Al | PBE-GGA | optimized geometry

DOS(E_F) = 1.1802 states/eV per atom
M_tot = 0.0 Bohr magnetons per cell

Unit cell a=5.2582 b=5.2582 c=17.9576 alpha=90.00 beta=90.00 gamma=120.00
Space group R3m (No. 160, hexagonal axes)
Symmetry-distinct sites (fractional):
Ac1 0.0000 0.0000 0.0000 (multiplicity 3)
Pr1 0.0000 0.0000 0.2156 (multiplicity 3)
Pr2 0.0000 0.0000 0.4464 (multiplicity 3)
Al1 0.0000 0.0000 0.8056 (multiplicity 3)

Q | AcPr2Al | PBE-GGA | optimized geometry

DOS(E_F) = 1.1714 states/eV per atom
M_tot = 0.0 Bohr magnetons per cell

Unit cell a=3.742 b=3.742 c=9.455 alpha=90.00 beta=90.00 gamma=90.00
Space group P4/mmm (No. 123)
Symmetry-distinct sites (fractional):
Ac1 0.000 0.000 0.000 (multiplicity 1)
Pr1 0.500 0.500 0.296 (multiplicity 2)
Al1 0.000 0.000 0.500 (multiplicity 1)

Q is preferred energetically. Next in line: 180 meV per atom higher.